Compound: BaNiRh2
Source: the Alexandria database
Functional: PBE
Structure: relaxed

Cell lengths 3.1890, 3.2003, 7.4258 Å; angles 90.00, 90.00, 90.00 degrees
Atoms (fractional coordinates):
Ba: 0.0000 0.0000 0.0000
Ni: 0.0000 0.0000 0.5000
Rh: 0.5000 0.5000 0.3224
Rh: 0.5000 0.5000 0.6776

Output
Space group   Pmmm (47)
Magnetization   2.1 μB per formula unit
Formation energy   0.341 eV/atom
Total energy   -5.26 eV per atom

Compound: Ca2GeSb
Source: the Alexandria database
Functional: PBE
Structure: relaxed

Cell lengths 8.2944, 8.2944, 6.6719 Å; angles 90.00, 90.00, 90.00 degrees
Atoms (fractional coordinates):
Ca: 0.2367 0.7500 0.1250
Ca: 0.2500 0.2367 0.8750
Ca: 0.2500 0.2633 0.3750
Ca: 0.2633 0.7500 0.6250
Ca: 0.7367 0.2500 0.6250
Ca: 0.7500 0.7367 0.3750
Ca: 0.7500 0.7633 0.8750
Ca: 0.7633 0.2500 0.1250
Ge: 0.0000 0.0000 0.0000
Ge: 0.0000 0.5000 0.2500
Ge: 0.5000 0.0000 0.7500
Ge: 0.5000 0.5000 0.5000
Sb: 0.0000 0.0000 0.5000
Sb: 0.0000 0.5000 0.7500
Sb: 0.5000 0.0000 0.2500
Sb: 0.5000 0.5000 0.0000

Output
Space group   I-42d (122)
ΔE_f (raw)   -395.7 meV/atom
Magnetization   0.0 μB per formula unit
Distance to the lowest polymorph of the same formula   1.02 eV per formula unit
Total energy   -3.58 eV per atom